Entry 1:
Y2US6 | PBE-GGA | optimized geometry

Cell: 6.3139 6.3139 12.0472 Å, 90.00 90.00 90.00°
Closest atoms and distances in Å follow each position.
Fractional coordinates of all 18 atoms:
1 Y 0.0000 0.0000 0.3353  6 S 2.72-2.76
2 Y 0.5000 0.5000 0.8353  6 S 2.72-2.76
3 Y 0.5000 0.5000 0.1647  6 S 2.72-2.76
4 Y 0.0000 0.0000 0.6647  6 S 2.72-2.76
5 U 0.0000 0.0000 0.0000  6 S 2.55-2.60
6 U 0.5000 0.5000 0.5000  6 S 2.55-2.60
7 S 0.3095 0.3095 0.3424  1 U 2.55, 2 Y 2.73-2.76
8 S 0.6905 0.6905 0.3424  1 U 2.55, 2 Y 2.73-2.76
9 S 0.1905 0.8095 0.8424  1 U 2.55, 2 Y 2.73-2.76
10 S 0.8095 0.1905 0.8424  1 U 2.55, 2 Y 2.73-2.76
11 S 0.1905 0.8095 0.1576  1 U 2.55, 2 Y 2.73-2.76
12 S 0.8095 0.1905 0.1576  1 U 2.55, 2 Y 2.73-2.76
13 S 0.3095 0.3095 0.6576  1 U 2.55, 2 Y 2.73-2.76
14 S 0.6905 0.6905 0.6576  1 U 2.55, 2 Y 2.73-2.76
15 S 0.2909 0.2909 0.0000  1 U 2.60, 2 Y 2.72
16 S 0.7091 0.7091 0.0000  1 U 2.60, 2 Y 2.72
17 S 0.2091 0.7909 0.5000  1 U 2.60, 2 Y 2.72
18 S 0.7909 0.2091 0.5000  1 U 2.60, 2 Y 2.72

Entry 2:
YU2S3 | PBE-GGA | optimized geometry

Cell: 5.4914 7.7442 11.6587 Å, 90.00 90.00 89.89°
Closest atoms and distances in Å follow each position.
Fractional coordinates of all 24 atoms:
1 Y 0.2495 0.8737 0.0819  6 S 2.73-2.76
2 Y 0.2495 0.3737 0.4181  6 S 2.73-2.76
3 Y 0.7505 0.6263 0.5819  6 S 2.73-2.76
4 Y 0.7505 0.1263 0.9181  6 S 2.73-2.76
5 U 0.2513 0.8761 0.7513  6 S 2.73-2.75
6 U 0.2513 0.3761 0.7487  6 S 2.73-2.75
7 U 0.2493 0.8776 0.4163  6 S 2.74-2.75
8 U 0.2493 0.3776 0.0837  6 S 2.74-2.75
9 U 0.7507 0.6224 0.9163  6 S 2.74-2.75
10 U 0.7507 0.1224 0.5837  6 S 2.74-2.75
11 U 0.7487 0.6239 0.2513  6 S 2.73-2.75
12 U 0.7487 0.1239 0.2487  6 S 2.73-2.75
13 S 0.2505 0.6271 0.5830  3 U 2.74-2.75, 3 Y 2.75
14 S 0.2505 0.1271 0.9170  3 U 2.74-2.75, 3 Y 2.75
15 S 0.2507 0.6248 0.9159  1 Y 2.73, 5 U 2.73-2.75
16 S 0.2507 0.1248 0.5841  1 Y 2.73, 5 U 2.73-2.75
17 S 0.2486 0.6257 0.2516  4 U 2.74-2.75, 2 Y 2.75-2.76
18 S 0.2486 0.1257 0.2484  4 U 2.74-2.75, 2 Y 2.75-2.76
19 S 0.7514 0.8743 0.7516  4 U 2.74-2.75, 2 Y 2.75-2.76
20 S 0.7514 0.3743 0.7484  4 U 2.74-2.75, 2 Y 2.75-2.76
21 S 0.7493 0.8752 0.4159  1 Y 2.73, 5 U 2.73-2.75
22 S 0.7493 0.3752 0.0841  1 Y 2.73, 5 U 2.73-2.75
23 S 0.7495 0.8729 0.0830  3 U 2.74-2.75, 3 Y 2.75
24 S 0.7495 0.3729 0.4170  3 U 2.74-2.75, 3 Y 2.75

Entry 3:
YU4S5 | PBE-GGA | optimized geometry

Cell: 5.4760 6.7157 6.7157 Å, 80.43 65.94 65.94°
Closest atoms and distances in Å follow each position.
Fractional coordinates of all 10 atoms:
1 Y 0.0013 0.0000 0.0000  6 S 2.74
2 U 0.4004 0.4016 0.7996  6 S 2.73-2.75
3 U 0.8020 0.7996 0.5984  6 S 2.73-2.75
4 U 0.2000 0.2004 0.4016  6 S 2.73-2.75
5 U 0.6016 0.5984 0.2004  6 S 2.73-2.75
6 S 0.9002 0.4005 0.8009  5 U 2.73-2.74, 1 Y 2.74
7 S 0.3008 0.8009 0.5995  5 U 2.73-2.74, 1 Y 2.74
8 S 0.7012 0.1991 0.4005  5 U 2.73-2.74, 1 Y 2.74
9 S 0.1017 0.5995 0.1991  5 U 2.73-2.74, 1 Y 2.74
10 S 0.5013 0.0000 0.0000  2 Y 2.74, 4 U 2.75

Entry 4:
YU2S4 | PBE-GGA | optimized geometry

Cell: 3.7396 6.7471 13.2310 Å, 90.00 90.00 106.09°
Closest atoms and distances in Å follow each position.
Fractional coordinates of all 14 atoms:
1 Y 0.6188 0.2375 0.7500  6 S 2.76-2.81
2 Y 0.3812 0.7625 0.2500  6 S 2.76-2.81
3 U 0.1358 0.2717 0.4333  6 S 2.72-2.77
4 U 0.8642 0.7283 0.9333  6 S 2.72-2.77
5 U 0.1358 0.2717 0.0667  6 S 2.72-2.77
6 U 0.8642 0.7283 0.5667  6 S 2.72-2.77
7 S 0.7806 0.5612 0.1263  3 U 2.76-2.77, 2 Y 2.81
8 S 0.7806 0.5612 0.3737  3 U 2.76-2.77, 2 Y 2.81
9 S 0.2194 0.4388 0.8737  3 U 2.76-2.77, 2 Y 2.81
10 S 0.2194 0.4388 0.6263  3 U 2.76-2.77, 2 Y 2.81
11 S 0.9624 0.9248 0.7500  2 U 2.74, 2 Y 2.76
12 S 0.0376 0.0752 0.2500  2 U 2.74, 2 Y 2.76
13 S 0.5000 0.0000 0.0000  4 U 2.72
14 S 0.5000 0.0000 0.5000  4 U 2.72

Entry 5:
YUS | PBE-GGA | optimized geometry

Cell: 3.6558 3.6558 11.7385 Å, 81.04 81.04 60.00°
Closest atoms and distances in Å follow each position.
Fractional coordinates of all 6 atoms:
1 S 0.5724 0.5724 0.2827  3 Y 2.77, 3 U 2.77
2 S 0.4276 0.4276 0.7173  3 Y 2.77, 3 U 2.77
3 Y 0.2909 0.2909 0.1274  3 S 2.77
4 Y 0.7091 0.7091 0.8726  3 S 2.77
5 U 0.8540 0.8540 0.4380  3 U 2.55, 3 S 2.77
6 U 0.1460 0.1460 0.5620  3 U 2.55, 3 S 2.77

Entry 6:
Y5U2S12 | PBE-GGA | optimized geometry

Cell: 7.3447 8.4320 8.9185 Å, 105.63 90.00 115.82°
Closest atoms and distances in Å follow each position.
Fractional coordinates of all 19 atoms:
1 Y 0.2935 0.5870 0.6344  7 S 2.80-3.00
2 Y 0.3129 0.6258 0.1812  7 S 2.77-3.03
3 Y 0.0000 0.0000 0.5000  6 S 2.66-2.84
4 Y 0.6871 0.3742 0.8188  7 S 2.77-3.03
5 Y 0.7065 0.4130 0.3656  7 S 2.80-3.00
6 U 0.7467 0.0000 0.0000  6 S 2.58-2.67
7 U 0.2533 0.0000 0.0000  6 S 2.58-2.67
8 S 0.9900 0.9800 0.1974  2 U 2.60, 1 Y 2.66
9 S 0.0926 0.6439 0.9043  1 U 2.58, 2 Y 2.79-2.86
10 S 0.5513 0.6439 0.9043  1 U 2.58, 2 Y 2.79-2.86
11 S 0.1041 0.7032 0.4365  4 Y 2.80-2.85
12 S 0.5990 0.7032 0.4365  4 Y 2.80-2.85
13 S 0.4989 0.9979 0.7795  2 U 2.67, 1 Y 2.77
14 S 0.5011 0.0021 0.2205  2 U 2.67, 1 Y 2.77
15 S 0.8959 0.2968 0.5635  4 Y 2.80-2.85
16 S 0.4010 0.2968 0.5635  4 Y 2.80-2.85
17 S 0.9074 0.3561 0.0957  1 U 2.58, 2 Y 2.79-2.86
18 S 0.4487 0.3561 0.0957  1 U 2.58, 2 Y 2.79-2.86
19 S 0.0100 0.0200 0.8026  2 U 2.60, 1 Y 2.66

Entry 7:
UZnS2 | PBE-GGA | optimized geometry

Cell: 3.6497 3.6497 8.1217 Å, 77.02 77.02 60.00°
Closest atoms and distances in Å follow each position.
Fractional coordinates of all 4 atoms:
1 Zn 0.5000 0.5000 0.5000  6 S 2.51
2 U 0.0000 0.0000 0.0000  2 S 2.55
3 S 0.1085 0.1085 0.6745  3 Zn 2.51, 1 U 2.55
4 S 0.8915 0.8915 0.3255  3 Zn 2.51, 1 U 2.55

Entry 8:
ZrUS2 | PBE-GGA | optimized geometry

Cell: 3.5588 3.5588 7.3492 Å, 75.99 75.99 60.00°
Closest atoms and distances in Å follow each position.
Fractional coordinates of all 4 atoms:
1 Zr 0.4972 0.4972 0.5084  6 S 2.60-2.68
2 U 0.6689 0.6689 0.9933  6 S 2.75-2.81
3 S 0.0888 0.0888 0.7337  3 Zr 2.60, 3 U 2.75
4 S 0.2451 0.2451 0.2646  3 Zr 2.68, 3 U 2.81

## Properties
Energy above the lowest structure with this stoichiometry = 55 meV per atom

Entry 9:
ZrUS4 | PBE-GGA | optimized geometry

Cell: 3.9204 6.2375 6.2375 Å, 90.02 90.00 90.00°
Closest atoms and distances in Å follow each position.
Fractional coordinates of all 6 atoms:
1 Zr 0.5000 0.0000 0.0000  6 S 2.59-2.61
2 U 0.0000 0.5000 0.5000  6 S 2.66-2.72
3 S 0.0000 0.1911 0.1911  2 Zr 2.59, 1 U 2.72
4 S 0.0000 0.8089 0.8089  2 Zr 2.59, 1 U 2.72
5 S 0.5000 0.7041 0.2959  1 Zr 2.61, 2 U 2.66
6 S 0.5000 0.2959 0.7041  1 Zr 2.61, 2 U 2.66

## Properties
Energy above the lowest structure with this stoichiometry = 125 meV per atom

| no. | DOS at the Fermi energy (states/eV per atom) | uncorrected formation energy (eV per atom) |
| --- | --- | --- |
| 1 | 0.0837 | -1.560 |
| 2 | 1.9102 | -1.565 |
| 3 | 1.9682 | -1.488 |
| 4 | 1.5095 | -1.533 |
| 5 | 1.0687 | -1.144 |
| 6 | 0.3099 | -1.756 |
| 7 | 1.7083 | -0.236 |
| 8 | 0.9933 | -1.360 |
| 9 | 1.2421 | -1.302 |